Entry 1:
La2SiOs2 | PBE-GGA | relaxed

Output
For the volume, the calculation gives 212.1 Å³/cell. The calculation puts the density of states at the Fermi level at 0.92 states/eV/atom. The spin magnetization comes out at 0.00 μB/f.u. As for the raw formation energy: -0.157 eV per atom. The value obtained for the energy above the most stable polymorph in this dataset is 218 meV per atom.

POSCAR file:
```
La2SiOs2
1.0
6.608 0.000 0.000
0.000 6.608 0.000
0.000 0.000 4.857
La Si Os
4 2 4
Cartesian
1.205 2.099 0.000
2.099 5.403 0.000
4.509 1.205 0.000
5.403 4.509 0.000
0.000 0.000 2.428
3.304 3.304 2.428
0.894 4.198 2.428
2.410 0.894 2.428
4.198 5.714 2.428
5.714 2.410 2.428
```

Entry 2:
AcPuHg2 | PBE-GGA | relaxed

Output
For the volume, the calculation gives 127.2 Å³/cell. The calculation puts the density of states at the Fermi level at 3.08 states/eV/atom. The spin magnetization comes out at 6.09 μB/f.u. The value obtained for the energy above the most stable polymorph in this dataset is 177 meV per atom. Its formation energy is -0.095 eV per atom.

POSCAR file:
```
AcPuHg2
1.0
1.906 1.100 10.110
-1.906 1.100 10.110
0.000 -2.200 10.110
Ac Pu Hg
1 1 2
Cartesian
0.000 0.000 0.000
0.000 0.000 15.165
0.000 0.000 7.459
0.000 0.000 22.872
```

Entry 3:
Ba2BeOsO6 | PBE-GGA | relaxed

Output
For the volume, the calculation gives 134.4 Å³/cell. The calculation puts the density of states at the Fermi level at 0.38 states/eV/atom. The spin magnetization comes out at 2.01 μB/f.u. As for the raw formation energy: -1.970 eV per atom.

POSCAR file:
```
Ba2BeOsO6
1.0
-3.072 3.072 3.560
3.072 -3.072 3.560
3.072 3.072 -3.560
Ba Be Os O
2 1 1 6
Cartesian
3.072 0.000 1.780
0.000 3.072 1.780
0.000 0.000 0.000
0.000 0.000 3.560
0.000 0.000 1.540
1.709 1.709 0.000
1.363 -1.363 3.560
-1.363 1.363 3.560
1.363 1.363 3.560
0.000 0.000 5.580
```

Look up the density of states at the Fermi level of the first one.
0.92 states/eV/atom

Which of these has the highest spin magnetization?
AcPuHg2